[1]
Here is a geometry-optimized PmPuH5 structure from the Alexandria database. Energies are from PBE-GGA.

```
7
Lattice="-1.152 -2.223 -2.726 3.047 0.804 -1.943 2.612 -4.229 2.345" Properties=species:S:1:pos:R:3 pbc="T T T"
H 1.402 -4.315 0.413
H 3.104 -1.334 -2.737
H 3.501 -2.801 0.804
H 1.306 -2.115 1.173
H 1.005 -2.848 -3.129
Pu 2.253 -2.824 -1.162
Pm 0.000 0.000 0.000
```

Computed properties:
symmetry = P4/mmm (123)
electronic total energy = -5.623 eV/atom
total magnetic moment = 5.47 μB per cell



[2]
Here is a geometry-optimized SmErAlGa structure from the Alexandria database. Energies are from PBE-GGA.

```
4
Lattice="-4.285 -1.006 -0.509 1.042 -3.474 -1.905 2.188 -2.151 5.121" Properties=species:S:1:pos:R:3 pbc="T T T"
Ga -1.615 -2.634 -0.485
Al 0.039 -2.265 4.152
Sm 0.013 -0.743 1.362
Er -1.589 -4.147 2.290
```

Computed properties:
symmetry = Amm2 (38)
electronic total energy = -4.509 eV/atom
E above lowest polymorph = 0.0 meV per atom
total magnetic moment = 0.00 μB per cell



[3]
Here is a geometry-optimized Cd2RuAu structure from the Alexandria database. Energies are from PBE-GGA.

```
8
Lattice="-4.999 -2.432 5.053 4.582 -5.674 1.802 1.013 -2.436 5.414" Properties=species:S:1:pos:R:3 pbc="T T T"
Cd 0.618 -4.886 6.637
Cd 2.476 -4.467 3.128
Cd 0.380 -8.902 10.053
Cd -2.282 -2.831 4.720
Au 0.000 0.000 0.000
Au -2.097 -4.461 6.947
Ru 2.693 -6.082 5.322
Ru -0.208 -4.053 3.428
```

Computed properties:
symmetry = I-42d (122)
electronic total energy = -3.108 eV/atom
E above lowest polymorph = 378.0 meV per atom
total magnetic moment = 1.91 μB per cell



- electronic total energy of number 2 (SmErAlGa)?
  -4.509 eV/atom



- The lowest total magnetic moment belongs to which entry?
  SmErAlGa



- Number 1 is which compound?
  PmPuH5